A plane-wave DFT calculation with PBE-GGA was carried out for PtI2 after structural relaxation.

Cell: 8.9832 8.9832 8.9832 Å, 90.00 90.00 90.00°
Space group Fd-3m (No. 227, origin choice 2)
Unique sites:
Pt1 0.1250 0.1250 0.1250 (multiplicity 8)
I1 0.0000 0.0000 0.5000 (multiplicity 16)

Properties
- total magnetic moment (μB per formula unit) = 0.01
- final energy (eV/atom) = -1.43